[1]
8
Lattice="-1.8929 1.5307 3.9870 2.1214 -5.2140 3.0089 4.9702 2.7702 1.2961" Properties=species:S:1:pos:R:3 comment="PbAu3 (PBE-GGA, optimized geometry)" dos_ef_per_ev_cell=2.3 volume_a3_per_cell=174.0 formation_enthalpy_0k_mev_per_atom=-33 crystal_system=orthorhombic magnetic_moment_mub_per_cell=0.0 e_tot_ev_per_atom=-3.42 pbc="T T T"
Pb 2.8117 -0.9784 4.4472
Au 5.5377 -2.4124 3.5552
Au 3.0304 0.0449 1.4215
Au 0.5801 0.7187 2.7362
Au 3.0800 -3.7822 2.9143
Pb 0.8484 -2.0851 1.2033
Au 0.6297 -3.1084 4.2290
Au 3.0926 2.1190 3.3914

=====

[2]
4
Lattice="-1.4733 -0.4843 -2.1817 2.4157 -3.8965 -0.7664 -2.9787 -2.3447 2.5319" Properties=species:S:1:pos:R:3 comment="Cu2RePt (PBE-GGA, optimized geometry)" dos_ef_per_ev_cell=3.1 volume_a3_per_cell=56.7 formation_enthalpy_0k_mev_per_atom=214 crystal_system=orthorhombic magnetic_moment_mub_per_cell=0.3 e_tot_ev_per_atom=-6.46 pbc="T T T"
Pt -2.2260 -1.4145 0.1751
Cu 0.4712 -2.1904 -1.4741
Cu 0.0000 0.0000 0.0000
Re -0.2815 -3.1206 0.8828

=====

[3]
12
Lattice="4.7392 0.0000 0.0000 0.0000 9.6891 -0.0202 0.0000 -2.5909 10.6789" Properties=species:S:1:pos:R:3 comment="KAcHgTe3 (PBE-GGA, optimized geometry)" volume_a3_per_cell=490.1 formation_energy_uncorrected_ev_per_atom=-1.0117 crystal_system=monoclinic magnetic_moment_mub_per_cell=0.0 e_tot_ev_per_atom=-3.50 pbc="T T T"
Hg 3.5544 7.8020 4.0983
Te 1.1848 6.3259 4.9888
Ac 3.5544 0.8625 9.1367
Te 1.1848 -1.5226 9.2683
Te 3.5544 0.7723 5.6699
Te 3.5544 3.9402 1.7324
K 1.1848 1.4323 2.6357
Ac 1.1848 6.2357 1.5221
Te 1.1848 3.1580 8.9263
K 3.5544 5.6659 8.0231
Te 3.5544 8.6208 1.3905
Hg 1.1848 -0.7037 6.5605

=====

[4]
4
Lattice="-2.8840 -0.4577 8.9414 -1.7643 -3.8866 8.3820 0.6492 -1.3041 9.2926" Properties=species:S:1:pos:R:3 comment="BaCaFe2 (PBE-GGA, optimized geometry)" dos_ef_per_ev_cell=8.1 volume_a3_per_cell=105.8 formation_enthalpy_0k_mev_per_atom=1041 crystal_system=trigonal magnetic_moment_mub_per_cell=4.6 e_tot_ev_per_atom=-4.17 pbc="T T T"
Ba -0.9998 -1.4121 6.6540
Fe -1.9885 -2.8085 13.2340
Fe -0.0111 -0.0157 0.0740
Ca -2.9994 -4.2363 19.9620

=====

[5]
5
Lattice="4.7589 0.0000 0.0000 0.0000 4.7589 0.0000 0.0000 0.0000 4.7589" Properties=species:S:1:pos:R:3 comment="ScSi3Ir (PBE-GGA, optimized geometry)" dos_ef_per_ev_cell=4.8 volume_a3_per_cell=107.8 formation_energy_uncorrected_ev_per_atom=1.5521 crystal_system=cubic magnetic_moment_mub_per_cell=0.0 e_tot_ev_per_atom=-4.74 pbc="T T T"
Si 0.0000 0.0000 2.3794
Si 0.0000 2.3794 0.0000
Ir 2.3794 2.3794 2.3794
Si 2.3794 0.0000 0.0000
Sc 0.0000 0.0000 0.0000

=====

[6]
5
Lattice="-2.4438 -4.8178 -2.4479 2.6665 1.2617 -5.1452 3.7368 -4.2622 -2.5268" Properties=species:S:1:pos:R:3 comment="Ca2Hg2Pb (PBE-GGA, optimized geometry)" dos_ef_per_ev_cell=2.5 volume_a3_per_cell=160.9 formation_enthalpy_0k_mev_per_atom=-272 crystal_system=tetragonal magnetic_moment_mub_per_cell=0.0 e_tot_ev_per_atom=-1.93 pbc="T T T"
Hg 2.7599 -5.2946 -6.7045
Ca 0.7022 -5.4290 -4.3856
Ca 3.2574 -2.3893 -5.7343
Pb 0.0000 0.0000 0.0000
Hg 1.1997 -2.5238 -3.4154

=====

[7]
5
Lattice="4.4551 0.0000 0.0000 0.0000 4.4551 0.0000 0.0000 0.0000 4.2949" Properties=species:S:1:pos:R:3 comment="HfCoS2Cl (PBE-GGA, optimized geometry)" dos_ef_per_ev_cell=3.6 volume_a3_per_cell=85.2 formation_energy_uncorrected_ev_per_atom=-0.0822 crystal_system=tetragonal magnetic_moment_mub_per_cell=0.0 e_tot_ev_per_atom=-5.51 pbc="T T T"
S 0.0000 2.2275 0.0000
Co 0.0000 0.0000 0.0000
Hf 2.2275 2.2275 2.1474
S 2.2275 0.0000 0.0000
Cl 0.0000 0.0000 2.1474

=====

[8]
15
Lattice="6.7220 0.0000 0.0001 -3.3610 5.8214 -0.0207 0.0001 -3.8623 5.5386" Properties=species:S:1:pos:R:3 comment="Na3Dy3GaO8 (PBE-GGA, optimized geometry)" dos_ef_per_ev_cell=12.4 volume_a3_per_cell=216.2 formation_energy_uncorrected_ev_per_atom=-2.4405 crystal_system=trigonal magnetic_moment_mub_per_cell=1.2 e_tot_ev_per_atom=-6.47 pbc="T T T"
Na 0.0000 0.0000 0.0000
O 5.1899 -1.0503 1.6770
Na 1.6805 2.9107 -0.0103
Dy -1.6805 0.9795 2.7590
O 3.3612 2.1172 1.6657
O -1.8288 3.0094 3.8411
O 0.0002 1.9457 1.5923
O -0.0001 -0.1581 3.8523
Ga 0.0000 -1.9312 2.7693
Na -1.6805 2.9107 -0.0103
Dy 1.6806 0.9795 2.7590
O 1.5324 -1.0504 1.6769
Dy 3.3611 -1.9311 2.7693
O 3.3610 0.0134 3.9257
O 1.8288 3.0094 3.8411

=====

[9]
8
Lattice="3.6477 0.0000 0.0000 0.0000 2.6901 0.0000 0.0000 0.0000 8.0204" Properties=species:S:1:pos:R:3 comment="CrNiHIr (PBE-GGA, optimized geometry)" dos_ef_per_ev_cell=5.5 volume_a3_per_cell=78.7 crystal_system=orthorhombic magnetic_moment_mub_per_cell=0.0 e_tot_ev_per_atom=-6.96 pbc="T T T"
Ni 0.0000 1.3451 5.2082
Cr 1.8238 0.0000 3.8283
Cr 0.0000 1.3451 7.8385
Ir 1.8238 0.0000 6.6288
H 1.8238 1.3451 5.0657
H 0.0000 0.0000 1.0555
Ni 1.8238 0.0000 1.1980
Ir 0.0000 1.3451 2.6186

=====

[10]
18
Lattice="-1.0353 0.5511 -4.2119 -7.3253 -1.0365 1.6649 3.3595 7.9976 2.4900" Properties=species:S:1:pos:R:3 comment="Li2Ga2Pd5 (PBE-GGA, optimized geometry)" dos_ef_per_ev_cell=5.6 volume_a3_per_cell=261.7 formation_enthalpy_0k_mev_per_atom=-543 crystal_system=orthorhombic magnetic_moment_mub_per_cell=0.0 e_tot_ev_per_atom=-4.53 pbc="T T T"
Ga -6.3755 -0.9021 1.4490
Li -0.9281 1.6012 -1.8203
Pd 0.3874 5.3707 0.5946
Pd -1.6249 1.0925 0.5605
Pd 0.9674 7.0343 -1.6048
Pd -1.2114 4.1159 -1.4523
Li -1.4600 6.6260 -1.0320
Pd 0.6749 2.6546 0.1685
Ga -3.2305 -0.1083 -1.4894
Pd -3.7869 5.1249 -0.6549
Li -4.6101 5.8350 1.8853
Pd -3.4994 2.4088 -1.0810
Pd -2.1693 6.2361 1.3674
Ga -6.0891 3.4201 -0.3076
Ga -1.9168 3.6670 0.9335
Pd -5.8134 0.8542 -0.7468
Li -4.0783 0.8102 1.0971
Pd -4.3476 3.3174 1.5220

=====

[11]
4
Lattice="4.6763 0.0000 0.0000 2.3381 4.0498 0.0000 2.3381 1.3499 3.8182" Properties=species:S:1:pos:R:3 comment="LuTlCu2 (PBE-GGA, optimized geometry)" dos_ef_per_ev_cell=2.0 volume_a3_per_cell=72.3 formation_enthalpy_0k_mev_per_atom=-154 crystal_system=cubic magnetic_moment_mub_per_cell=0.0 e_tot_ev_per_atom=-3.92 pbc="T T T"
Cu 2.3381 1.3499 0.9545
Cu 7.0144 4.0498 2.8636
Lu 0.0000 0.0000 0.0000
Tl 4.6763 2.6998 1.9091

=====

[12]
14
Lattice="5.5653 0.0000 0.0554 0.0000 5.5727 0.0000 -2.1163 0.0000 6.5758" Properties=species:S:1:pos:R:3 comment="LaPaSiN4 (PBE-GGA, optimized geometry)" dos_ef_per_ev_cell=0.0 volume_a3_per_cell=204.6 formation_energy_uncorrected_ev_per_atom=-1.3443 crystal_system=monoclinic magnetic_moment_mub_per_cell=0.0 e_tot_ev_per_atom=-8.94 pbc="T T T"
N -0.3889 2.8334 1.8717
N -0.3889 5.5256 1.8717
Pa 3.3901 4.1795 3.0074
N 2.1650 1.3932 2.8631
N 3.8379 0.0471 4.7595
N 2.1262 4.1795 1.0954
N 1.3229 1.3932 5.5358
Si 2.7602 1.3932 4.5267
N 3.8379 2.7393 4.7595
N 1.2840 4.1795 3.7681
Pa 0.0589 1.3932 3.6238
Si 0.6888 4.1795 2.1045
La 1.4387 1.3932 0.5259
La 2.0103 4.1795 6.1053

=====

[13]
5
Lattice="-0.5167 3.7538 -2.5215 -1.6955 -2.5135 -3.3946 -5.6616 1.2221 -1.1284" Properties=species:S:1:pos:R:3 comment="BaCd2H2 (PBE-GGA, optimized geometry)" dos_ef_per_ev_cell=2.1 volume_a3_per_cell=102.5 crystal_system=tetragonal magnetic_moment_mub_per_cell=0.0 e_tot_ev_per_atom=-1.97 pbc="T T T"
Cd -5.3542 1.6555 -4.6542
Cd -2.5196 0.8069 -2.3903
H -3.6422 2.7980 -3.3040
Ba 0.0000 0.0000 0.0000
H -4.2316 -0.3357 -3.7405

=====

[14]
8
Lattice="-2.1064 4.8486 1.5118 -4.3222 -2.5708 2.2228 0.0366 0.7283 7.7137" Properties=species:S:1:pos:R:3 comment="La2HRu (PBE-GGA, optimized geometry)" dos_ef_per_ev_cell=6.1 volume_a3_per_cell=202.6 crystal_system=tetragonal magnetic_moment_mub_per_cell=0.0 e_tot_ev_per_atom=-5.72 pbc="T T T"
La -3.0104 -0.6923 3.5461
La -5.4849 2.6063 8.9951
La -1.7927 2.7647 3.1117
Ru 0.0000 0.0000 0.0000
H -3.7499 -0.3518 5.9019
La -2.4959 1.3334 7.2437
Ru -2.6421 3.3579 5.5464
H -3.2143 1.1389 1.8673

=====

[15]
4
Lattice="-2.2932 2.9362 -2.4323 -3.3509 2.2772 1.8389 4.4102 8.8516 2.4579" Properties=species:S:1:pos:R:3 comment="HgPbBr2 (PBE-GGA, optimized geometry)" dos_ef_per_ev_cell=0.0 volume_a3_per_cell=169.1 formation_energy_uncorrected_ev_per_atom=-0.6541 crystal_system=trigonal magnetic_moment_mub_per_cell=0.0 e_tot_ev_per_atom=-2.49 pbc="T T T"
Pb -3.7602 3.4785 -0.3945
Br 3.3347 7.6355 2.0039
Hg -0.6223 7.0264 0.9300
Br -0.8031 2.9570 0.2573

=====

[16]
4
Lattice="-2.3618 1.6905 2.4905 -3.7486 -0.7590 -0.1009 -0.9452 -5.7664 5.9568" Properties=species:S:1:pos:R:3 comment="TmSeS2 (PBE-GGA, optimized geometry)" dos_ef_per_ev_cell=4.1 volume_a3_per_cell=102.0 formation_energy_uncorrected_ev_per_atom=0.1012 crystal_system=trigonal magnetic_moment_mub_per_cell=0.0 e_tot_ev_per_atom=-3.95 pbc="T T T"
S -5.7548 -1.0483 4.0708
Tm 0.0000 0.0000 0.0000
Se -3.5278 -2.4175 4.1732
S -1.3009 -3.7866 4.2756

=====

[17]
5
Lattice="-2.8943 -1.0378 -3.4566 -2.5298 -2.5766 2.8919 -2.8032 4.0289 1.1375" Properties=species:S:1:pos:R:3 comment="LaP2SCl (PBE-GGA, optimized geometry)" dos_ef_per_ev_cell=4.9 volume_a3_per_cell=107.8 formation_energy_uncorrected_ev_per_atom=0.0500 crystal_system=tetragonal magnetic_moment_mub_per_cell=0.6 e_tot_ev_per_atom=-4.29 pbc="T T T"
S -1.4016 2.0145 0.5688
La -4.1136 0.2072 0.2864
P -1.4471 -0.5189 -1.7283
P -1.2649 -1.2883 1.4459
Cl 0.0000 0.0000 0.0000

=====

[18]
4
Lattice="6.1793 0.0117 0.0007 3.3462 5.1949 -0.0007 -4.0272 -3.9489 2.5242" Properties=species:S:1:pos:R:3 comment="BaTc2Pt (PBE-GGA, optimized geometry)" dos_ef_per_ev_cell=5.0 volume_a3_per_cell=80.9 formation_enthalpy_0k_mev_per_atom=726 crystal_system=orthorhombic magnetic_moment_mub_per_cell=0.0 e_tot_ev_per_atom=-6.45 pbc="T T T"
Ba 3.4574 -0.6669 1.2624
Tc 0.3201 0.1750 0.0000
Pt 2.0408 1.9247 1.2617
Tc 4.4426 2.4284 0.0000

=====

[19]
20
Lattice="3.2447 0.0000 0.0000 0.0000 10.2948 0.0000 0.0000 0.0000 10.2948" Properties=species:S:1:pos:R:3 comment="Sr2ZnSi2Rh5 (PBE-GGA, optimized geometry)" dos_ef_per_ev_cell=9.6 volume_a3_per_cell=343.9 formation_energy_uncorrected_ev_per_atom=-0.5867 crystal_system=tetragonal magnetic_moment_mub_per_cell=0.0 e_tot_ev_per_atom=-5.81 pbc="T T T"
Rh 1.6224 9.6161 2.1850
Rh 1.6224 0.6787 8.1098
Rh 1.6224 8.1098 9.6161
Rh 1.6224 0.0000 5.1474
Rh 1.6224 4.4687 2.9624
Zn 0.0000 5.1474 5.1474
Rh 1.6224 7.3325 4.4687
Sr 0.0000 3.3480 8.4954
Rh 1.6224 2.9624 5.8261
Si 0.0000 1.2992 6.4466
Rh 1.6224 5.1474 0.0000
Rh 1.6224 5.8261 7.3325
Sr 0.0000 8.4954 6.9468
Rh 1.6224 2.1850 0.6787
Sr 0.0000 6.9468 1.7994
Si 0.0000 3.8482 1.2992
Sr 0.0000 1.7994 3.3480
Zn 0.0000 0.0000 0.0000
Si 0.0000 8.9956 3.8482
Si 0.0000 6.4466 8.9956

=====

[20]
5
Lattice="-1.3718 -3.4049 -3.2548 3.8045 1.0214 -2.6719 2.6097 -3.3715 2.4271" Properties=species:S:1:pos:R:3 comment="HfCoSi2Mo (PBE-GGA, optimized geometry)" dos_ef_per_ev_cell=12.8 volume_a3_per_cell=114.6 formation_energy_uncorrected_ev_per_atom=1.8977 crystal_system=tetragonal magnetic_moment_mub_per_cell=0.0 e_tot_ev_per_atom=-5.85 pbc="T T T"
Si -0.6859 -1.7024 -1.6274
Co 2.5212 -2.8775 -1.7498
Mo 1.9022 0.5107 -1.3360
Hf 0.0000 0.0000 0.0000
Si 1.3049 -1.6857 1.2135